Entry 1:
Below is a relaxed KScZn crystal, with properties calculated at the PBE level.

a = 3.5382 Å, b = 3.5382 Å, c = 8.2637 Å
α = 90.00°, β = 90.00°, γ = 120.00°
Closest atoms and distances in Å follow each position.
Space group P3m1 (No. 156)
Inequivalent atoms, fractional coordinates:
K1 0.0000 0.0000 0.0000 x1  3 Zn 3.48, 6 K 3.54
Sc1 0.6667 0.3333 0.4251 x1  3 Zn 2.81
Zn1 0.3333 0.6667 0.6595 x1  3 Sc 2.81

Properties
* total DFT energy (no corrections): -2.573 eV per atom
* energy above the most stable polymorph in this dataset: 162 meV per atom
* M_tot: 0.2 μB per cell

Entry 2:
Below is a relaxed MnIn2Au crystal, with properties calculated at the PBE level.

a = 4.1942 Å, b = 4.1942 Å, c = 8.9589 Å
α = 90.00°, β = 90.00°, γ = 90.00°
Closest atoms and distances in Å follow each position.
Space group I-4m2 (No. 119)
Inequivalent atoms, fractional coordinates:
Mn1 0.0000 0.0000 0.0000 x2  8 In 2.97-3.07, 4 Au 3.07
In1 0.0000 0.0000 0.5000 x2  4 Mn 2.97, 4 In 3.07, 4 Au 3.07
In2 0.0000 0.5000 0.2500 x2  4 Au 2.97, 4 In 3.07, 4 Mn 3.07
Au1 0.0000 0.5000 0.7500 x2  8 In 2.97-3.07, 4 Mn 3.07

Properties
* total DFT energy (no corrections): -4.398 eV per atom
* energy above the most stable polymorph in this dataset: 50 meV per atom
* M_tot: 7.2 μB per cell

Entry 3:
Below is a relaxed Li2ScMn crystal, with properties calculated at the PBE level.

a = 2.8625 Å, b = 2.8625 Å, c = 9.1869 Å
α = 90.00°, β = 90.00°, γ = 90.00°
Closest atoms and distances in Å follow each position.
Space group P4/mmm (No. 123)
Inequivalent atoms, fractional coordinates:
Li1 0.0000 0.0000 0.2236 x2  4 Li 2.86, 4 Mn 2.88
Sc1 0.5000 0.5000 0.5000 x1  4 Sc 2.86
Mn1 0.5000 0.5000 0.0000 x1  4 Mn 2.86, 8 Li 2.88

Properties
* total DFT energy (no corrections): -4.445 eV per atom
* energy above the most stable polymorph in this dataset: 229 meV per atom
* M_tot: 3.7 μB per cell

Entry 4:
Below is a relaxed Nd8Ga3RhI4 crystal, with properties calculated at the PBE level.

a = 15.0837 Å, b = 8.6938 Å, c = 9.2192 Å
α = 90.00°, β = 123.08°, γ = 90.00°
Closest atoms and distances in Å follow each position.
Space group C2/m (No. 12)
Inequivalent atoms, fractional coordinates:
Nd1 0.0144 0.2406 0.3026 x8  1 Rh 2.86, 2 Ga 2.98
Nd2 0.2269 0.0000 0.6982 x4  1 Rh 2.87, 2 Ga 2.98
Nd3 0.2384 0.5000 0.7154 x4  3 Ga 3.01, 3 I 3.34
Ga1 0.0000 0.5000 0.5000 x2  6 Nd 2.98-3.01
Ga2 0.2500 0.2500 0.5000 x4  6 Nd 2.98-3.01
Rh1 0.0000 0.0000 0.5000 x2  6 Nd 2.86-2.87
I1 0.0000 0.0000 0.0000 x2  6 Nd 3.34-3.40
I2 0.0000 0.5000 0.0000 x2  6 Nd 3.49-3.50
I3 0.2500 0.2500 0.0000 x4  6 Nd 3.34-3.40

Properties
* formation energy without anion corrections: -778 meV per atom
* total DFT energy (no corrections): -4.577 eV per atom
* M_tot: 0.0 μB per cell

Entry 5:
Below is a relaxed FeCu2Pt8 crystal, with properties calculated at the PBE level.

a = 14.0197 Å, b = 3.9205 Å, c = 6.1763 Å
α = 90.00°, β = 105.75°, γ = 90.00°
Closest atoms and distances in Å follow each position.
Space group C2/m (No. 12)
Inequivalent atoms, fractional coordinates:
Fe1 0.0000 0.0000 0.0000 x2  12 Pt 2.73-2.77
Cu1 0.2266 0.5000 0.6337 x4  10 Pt 2.69-2.80, 2 Cu 2.75
Pt1 0.0466 0.5000 0.7280 x4  1 Cu 2.74, 9 Pt 2.75-2.81, 2 Fe 2.77
Pt2 0.0948 0.0000 0.4483 x4  3 Cu 2.69-2.72, 8 Pt 2.71-2.90, 1 Fe 2.73
Pt3 0.1363 0.5000 0.1839 x4  7 Pt 2.71-2.78, 3 Cu 2.72-2.76, 2 Fe 2.76
Pt4 0.1811 0.0000 0.9136 x4  1 Fe 2.73, 3 Cu 2.74-2.80, 8 Pt 2.75-2.80

Properties
* total DFT energy (no corrections): -6.049 eV per atom
* energy above the most stable polymorph in this dataset: 0 meV per atom
* M_tot: 9.3 μB per cell

Entry 6:
Below is a relaxed Sr2CaPC crystal, with properties calculated at the PBE level.

a = 6.3823 Å, b = 6.3823 Å, c = 3.7874 Å
α = 90.00°, β = 90.00°, γ = 90.00°
Closest atoms and distances in Å follow each position.
Space group P4/mmm (No. 123)
Inequivalent atoms, fractional coordinates:
Sr1 0.0000 0.5000 0.0000 x2  2 P 3.19
Ca1 0.0000 0.0000 0.5000 x1  8 Sr 3.71, 2 Ca 3.79
P1 0.5000 0.5000 0.0000 x1  2 C 1.89
C1 0.5000 0.5000 0.5000 x1  2 P 1.89

Properties
* total DFT energy (no corrections): -3.398 eV per atom
* M_tot: 0.0 μB per cell

Entry 7:
Below is a relaxed MnPtPb4 crystal, with properties calculated at the PBE level.

a = 8.8192 Å, b = 8.8192 Å, c = 8.8192 Å
α = 90.00°, β = 90.00°, γ = 90.00°
Closest atoms and distances in Å follow each position.
Space group F-43m (No. 216)
Inequivalent atoms, fractional coordinates:
Mn1 0.0000 0.0000 0.0000 x4  12 Pb 3.66, 4 Pt 3.82
Pt1 0.2500 0.2500 0.2500 x4  12 Pb 3.66, 4 Mn 3.82
Pb1 0.1248 0.1248 0.6248 x16  6 Pb 3.11-3.12

Properties
* total DFT energy (no corrections): -4.259 eV per atom
* M_tot: 17.4 μB per cell

Entry 8:
Below is a relaxed ZrTcNi2 crystal, with properties calculated at the PBE level.

a = 2.7701 Å, b = 2.7701 Å, c = 26.5342 Å
α = 90.00°, β = 90.00°, γ = 120.00°
Closest atoms and distances in Å follow each position.
Space group R-3m (No. 166, hexagonal axes)
Inequivalent atoms, fractional coordinates:
Zr1 0.0000 0.0000 0.0000 x3  6 Zr 2.77, 6 Ni 2.87
Tc1 0.0000 0.0000 0.5000 x3  6 Ni 2.59, 6 Tc 2.77
Ni1 0.0000 0.0000 0.2437 x6  3 Tc 2.59, 6 Ni 2.77, 3 Zr 2.87

Properties
* total DFT energy (no corrections): -7.383 eV per atom
* energy above the most stable polymorph in this dataset: 500 meV per atom
* M_tot: 0.0 μB per cell

| no. | volume (Å³/atom) |
| --- | --- |
| 1 | 29.864 |
| 2 | 19.700 |
| 3 | 18.819 |
| 4 | 31.655 |
| 5 | 14.851 |
| 6 | 30.855 |
| 7 | 28.581 |
| 8 | 14.694 |